Entry 1:
Material: La2TbDy4
Method: DFT, PBE
State: relaxed

Lattice parameters (Å, degrees): 5.556 5.556 17.409 90.00 90.00 90.00
Space group I4/mmm (No. 139)
Unique sites:
La (0.000, 0.000, 0.126)
Tb (0.000, 0.000, 0.500)
Dy (0.000, 0.000, 0.325)
Dy (0.000, 0.500, 0.000)

Computed properties:
The calculation puts the polymorph energy (0 for the lowest one) at 3.896 eV per formula unit. The value obtained for the magnetization is 0.435 Bohr magnetons per cell. The calculation puts the formation enthalpy at 0 K at 626 meV/atom.

---

Entry 2:
Material: NbPtPb2O6
Method: DFT, PBE
State: relaxed

Lattice parameters (Å, degrees): 5.8674 5.8674 30.0470 90.00 90.00 120.00
Space group R-3m (No. 166, hexagonal axes)
Unique sites:
Nb (0.0000, 0.0000, 0.0950)
Pt (0.0000, 0.0000, 0.0000)
Pt (0.0000, 0.0000, 0.5000)
Pb (0.0000, 0.0000, 0.2333)
Pb (0.0000, 0.0000, 0.3582)
O (0.0001, 0.5000, 0.2120)
O (0.0089, 0.5045, 0.6263)

Computed properties:
For the uncorrected formation energy, the calculation gives -1.279 eV/atom. The value obtained for the magnetization is 5.836 Bohr magnetons per cell.

---

Entry 3:
Material: Pu2SeI
Method: DFT, PBE
State: relaxed

Lattice parameters (Å, degrees): 4.2888 4.2888 21.1864 90.00 90.00 120.00
Space group R-3m (No. 166, hexagonal axes)
Unique sites:
Pu (0.0000, 0.0000, 0.2396)
Se (0.0000, 0.0000, 0.5000)
I (0.0000, 0.0000, 0.0000)

Computed properties:
The calculation puts the polymorph energy (0 for the lowest one) at 0.003 eV per formula unit. For the uncorrected formation energy, the calculation gives -1.027 eV/atom. The value obtained for the magnetization is 36.663 Bohr magnetons per cell.

---

Entry 4:
Material: KSi2Au2
Method: DFT, PBE
State: relaxed

Lattice parameters (Å, degrees): 15.983 4.307 7.200 90.00 97.98 90.00
Space group C2/c (No. 15)
Unique sites:
K (0.000, 0.249, 0.250)
Si (0.176, 0.250, 0.977)
Au (0.156, 0.250, 0.632)

Computed properties:
The calculation puts the polymorph energy (0 for the lowest one) at 0.044 eV per formula unit. For the uncorrected formation energy, the calculation gives -0.109 eV/atom. The value obtained for the magnetization is 0.000 Bohr magnetons per cell.

---

Entry 5:
Material: K2Se3
Method: DFT, PBE
State: relaxed

Lattice parameters (Å, degrees): 9.649 8.216 8.772 90.00 90.00 90.00
Space group Cmc2_1 (No. 36)
Unique sites:
K (0.228, 0.129, 0.000)
Se (0.000, 0.078, 0.290)
Se (0.000, 0.189, 0.673)
Se (0.000, 0.402, 0.860)

Computed properties:
The calculation puts the polymorph energy (0 for the lowest one) at 0.241 eV per formula unit. For the uncorrected formation energy, the calculation gives -0.760 eV/atom. The value obtained for the magnetization is 0.000 Bohr magnetons per cell.

---

Entry 6:
Material: AcCe2Ir2
Method: DFT, PBE
State: relaxed

Lattice parameters (Å, degrees): 9.486 10.961 7.331 90.00 130.21 90.00
Space group C2/c (No. 15)
Unique sites:
Ac (0.000, 0.125, 0.250)
Ce (0.151, 0.375, 0.050)
Ir (0.000, 0.158, 0.750)
Ir (0.000, 0.408, 0.250)

Computed properties:
The value obtained for the magnetization is 2.674 Bohr magnetons per cell. The calculation puts the formation enthalpy at 0 K at -516 meV/atom.

---

Entry 7:
Material: P2IrSe
Method: DFT, PBE
State: relaxed

Lattice parameters (Å, degrees): 2.955 5.052 9.342 90.00 90.00 90.00
Space group Cmm2 (No. 35)
Unique sites:
P (0.000, 0.000, 0.000)
P (0.000, 0.500, 0.190)
Ir (0.000, 0.000, 0.392)
Se (0.000, 0.500, 0.628)

Computed properties:
For the uncorrected formation energy, the calculation gives 0.524 eV/atom. The value obtained for the magnetization is 0.000 Bohr magnetons per cell.

---

Entry 8:
Material: NaSiTeN2
Method: DFT, PBE
State: relaxed

Lattice parameters (Å, degrees): 3.704 3.704 5.865 90.00 90.00 90.00
Space group P4/mmm (No. 123)
Unique sites:
Na (0.000, 0.000, 0.000)
Si (0.500, 0.500, 0.500)
Te (0.500, 0.500, 0.000)
N (0.000, 0.500, 0.500)

Computed properties:
The calculation puts the polymorph energy (0 for the lowest one) at 0.000 eV per formula unit. For the uncorrected formation energy, the calculation gives 0.677 eV/atom. The value obtained for the magnetization is 0.429 Bohr magnetons per cell.

---

Entry 9:
Material: TcPOs2
Method: DFT, PBE
State: relaxed

Lattice parameters (Å, degrees): 2.7890 2.7890 24.5949 90.00 90.00 120.00
Space group R3m (No. 160, hexagonal axes)
Unique sites:
Tc (0.0000, 0.0000, 0.0000)
P (0.0000, 0.0000, 0.2557)
Os (0.0000, 0.0000, 0.5134)
Os (0.0000, 0.0000, 0.7562)

Computed properties:
The value obtained for the magnetization is 0.000 Bohr magnetons per cell. The calculation puts the formation enthalpy at 0 K at 39 meV/atom.

---

Entry 10:
Material: Ta2CN3
Method: DFT, PBE
State: relaxed

Lattice parameters (Å, degrees): 5.3971 5.3971 2.8203 90.00 90.00 120.00
Space group P6/mmm (No. 191)
Unique sites:
Ta (0.3333, 0.6667, 0.0000)
C (0.0000, 0.0000, 0.5000)
N (0.0000, 0.5000, 0.5000)

Computed properties:
For the uncorrected formation energy, the calculation gives 0.298 eV/atom. The value obtained for the magnetization is 0.459 Bohr magnetons per cell.

---

Entry 11:
Material: NaPdCl
Method: DFT, PBE
State: relaxed

Lattice parameters (Å, degrees): 6.317 6.317 6.317 90.00 90.00 90.00
Space group F-43m (No. 216)
Unique sites:
Na (0.000, 0.000, 0.000)
Pd (0.000, 0.000, 0.500)
Cl (0.250, 0.250, 0.250)

Computed properties:
The calculation puts the polymorph energy (0 for the lowest one) at 1.159 eV per formula unit. For the uncorrected formation energy, the calculation gives -0.392 eV/atom. The value obtained for the magnetization is 0.000 Bohr magnetons per cell.

---

Entry 12:
Material: Sr2TbNpS6
Method: DFT, PBE
State: relaxed

Lattice parameters (Å, degrees): 6.952 7.427 12.279 90.00 124.48 90.00
Space group P2_1/c (No. 14)
Unique sites:
Sr (0.224, 0.080, 0.251)
Tb (0.500, 0.000, 0.000)
Np (0.000, 0.000, 0.500)
S (0.123, 0.202, 0.939)
S (0.244, 0.690, 0.942)
S (0.357, 0.036, 0.744)

Computed properties:
For the uncorrected formation energy, the calculation gives -1.755 eV/atom. The value obtained for the magnetization is 4.000 Bohr magnetons per cell.

---

Entry 13:
Material: BaEuHgBi
Method: DFT, PBE
State: relaxed

Lattice parameters (Å, degrees): 8.295 8.295 8.295 90.00 90.00 90.00
Space group F-43m (No. 216)
Unique sites:
Ba (0.000, 0.000, 0.000)
Eu (0.000, 0.000, 0.500)
Hg (0.250, 0.250, 0.250)
Bi (0.250, 0.250, 0.750)

Computed properties:
The value obtained for the magnetization is 29.685 Bohr magnetons per cell. The calculation puts the formation enthalpy at 0 K at -691 meV/atom.

---

Entry 14:
Material: BaCd6
Method: DFT, PBE
State: relaxed

Lattice parameters (Å, degrees): 6.770 6.770 6.770 90.00 90.00 90.00
Space group Pm-3m (No. 221)
Unique sites:
Ba (0.000, 0.000, 0.000)
Cd (0.195, 0.500, 0.500)

Computed properties:
The calculation puts the polymorph energy (0 for the lowest one) at 3.193 eV per formula unit. The value obtained for the magnetization is 0.000 Bohr magnetons per cell. The calculation puts the formation enthalpy at 0 K at 252 meV/atom.

---

Entry 15:
Material: YMg2Cu3
Method: DFT, PBE
State: relaxed

Lattice parameters (Å, degrees): 5.0497 5.0497 15.7904 90.00 90.00 120.00
Space group R-3m (No. 166, hexagonal axes)
Unique sites:
Y (0.0000, 0.0000, 0.0000)
Mg (0.0000, 0.0000, 0.4106)
Cu (0.0000, 0.5000, 0.5000)

Computed properties:
The calculation puts the polymorph energy (0 for the lowest one) at 1.256 eV per formula unit. The value obtained for the magnetization is 0.000 Bohr magnetons per cell. The calculation puts the formation enthalpy at 0 K at 51 meV/atom.

---

Entry 16:
Material: LaZrAlZn
Method: DFT, PBE
State: relaxed

Lattice parameters (Å, degrees): 7.148 7.148 7.148 90.00 90.00 90.00
Space group F-43m (No. 216)
Unique sites:
La (0.000, 0.000, 0.000)
Zr (0.000, 0.000, 0.500)
Al (0.250, 0.250, 0.250)
Zn (0.250, 0.250, 0.750)

Computed properties:
The value obtained for the magnetization is 0.001 Bohr magnetons per cell. The calculation puts the formation enthalpy at 0 K at -213 meV/atom.

---

Entry 17:
Material: Pb5Cl5O2
Method: DFT, PBE
State: relaxed

Lattice parameters (Å, degrees): 14.755 3.753 11.741 90.00 107.14 90.00
Space group C2/m (No. 12)
Unique sites:
Pb (0.000, 0.000, 0.000)
Pb (0.106, 0.000, 0.375)
Pb (0.133, 0.500, 0.796)
Cl (0.000, 0.500, 0.500)
Cl (0.166, 0.500, 0.060)
Cl (0.227, 0.000, 0.636)
O (0.032, 0.000, 0.797)

Computed properties:
For the uncorrected formation energy, the calculation gives -1.006 eV/atom. The value obtained for the magnetization is 0.008 Bohr magnetons per cell.

---

Entry 18:
Material: InTeAs2
Method: DFT, PBE
State: relaxed

Lattice parameters (Å, degrees): 3.753 5.201 9.903 90.00 90.00 90.00
Space group Immm (No. 71)
Unique sites:
In (0.000, 0.000, 0.000)
Te (0.000, 0.000, 0.500)
As (0.000, 0.500, 0.228)

Computed properties:
The calculation puts the polymorph energy (0 for the lowest one) at 1.326 eV per formula unit. For the uncorrected formation energy, the calculation gives 0.302 eV/atom. The value obtained for the magnetization is 0.000 Bohr magnetons per cell.

---

Entry 19:
Material: FeB3Pd
Method: DFT, PBE
State: relaxed

Lattice parameters (Å, degrees): 3.758 3.758 3.758 90.00 90.00 90.00
Space group Pm-3m (No. 221)
Unique sites:
Fe (0.000, 0.000, 0.000)
B (0.000, 0.000, 0.500)
Pd (0.500, 0.500, 0.500)

Computed properties:
The calculation puts the polymorph energy (0 for the lowest one) at 0.000 eV per formula unit. The value obtained for the magnetization is 0.000 Bohr magnetons per cell. The calculation puts the formation enthalpy at 0 K at 757 meV/atom.

---

Entry 20:
Material: LiPrSn2Au4
Method: DFT, PBE
State: relaxed

Lattice parameters (Å, degrees): 4.7228 4.7228 26.4107 90.00 90.00 120.00
Space group R-3m (No. 166, hexagonal axes)
Unique sites:
Li (0.0000, 0.0000, 0.0000)
Pr (0.0000, 0.0000, 0.5000)
Sn (0.0000, 0.0000, 0.2562)
Au (0.0000, 0.0000, 0.1066)
Au (0.0000, 0.0000, 0.3632)

Computed properties:
The value obtained for the magnetization is 0.000 Bohr magnetons per cell. The calculation puts the formation enthalpy at 0 K at -537 meV/atom.